Compound: PaMnCoCu
Source: Alexandria via LeMat-Bulk
Functional: PBE
Structure: relaxed

Unit cell a=4.5314 b=4.5314 c=4.5314 alpha=60.00 beta=60.00 gamma=60.00
Closest atoms and distances in Å follow each position.
Atoms (fractional coordinates):
Mn  0.0000  0.0000  0.0000  4 Co 2.77, 4 Cu 2.77
Pa  0.5000  0.5000  0.5000  4 Co 2.77, 4 Cu 2.77
Co  0.7500  0.7500  0.7500  4 Pa 2.77, 4 Mn 2.77
Cu  0.2500  0.2500  0.2500  4 Mn 2.77, 4 Pa 2.77

Calculated values
Formation energy from the elements = 0.128 eV/atom
SG = No. 216
Density of states at the Fermi level = 4.95 states/eV/cell

---

Compound: MnCoCuPd
Source: Alexandria via LeMat-Bulk
Functional: PBE
Structure: relaxed

Unit cell a=4.2053 b=4.2053 c=4.2053 alpha=60.00 beta=60.00 gamma=60.00
Closest atoms and distances in Å follow each position.
Atoms (fractional coordinates):
Mn  0.7500  0.7500  0.7500  4 Pd 2.58, 4 Co 2.58
Co  0.0000  0.0000  0.0000  4 Mn 2.58, 4 Cu 2.58
Cu  0.2500  0.2500  0.2500  4 Co 2.58, 4 Pd 2.58
Pd  0.5000  0.5000  0.5000  4 Cu 2.58, 4 Mn 2.58

Calculated values
Formation energy from the elements = 0.078 eV/atom
SG = No. 216
Density of states at the Fermi level = 5.64 states/eV/cell

---

Compound: RbMn2CoCu
Source: Alexandria via LeMat-Bulk
Functional: PBE
Structure: relaxed

Unit cell a=4.8132 b=5.8129 c=4.8132 alpha=90.00 beta=90.00 gamma=90.00
Closest atoms and distances in Å follow each position.
Atoms (fractional coordinates):
Mn  0.0000  0.0000  0.5000  2 Cu 2.41
Mn  0.5000  0.0000  0.0000  2 Cu 2.41
Co  0.5000  0.5000  0.5000  4 Rb 3.40, 8 Mn 3.77
Cu  0.0000  0.0000  0.0000  4 Mn 2.41
Rb  0.0000  0.5000  0.0000  2 Cu 2.91

Calculated values
Formation energy from the elements = 1.472 eV/atom
SG = No. 123
Density of states at the Fermi level = 3.46 states/eV/cell

---

Compound: MnCoCuRh
Source: Alexandria via LeMat-Bulk
Functional: PBE
Structure: relaxed

Unit cell a=4.1471 b=4.1471 c=4.1471 alpha=60.00 beta=60.00 gamma=60.00
Closest atoms and distances in Å follow each position.
Atoms (fractional coordinates):
Co  0.5000  0.5000  0.5000  4 Cu 2.54, 4 Mn 2.54
Mn  0.7500  0.7500  0.7500  4 Co 2.54, 4 Rh 2.54
Rh  0.0000  0.0000  0.0000  4 Mn 2.54, 4 Cu 2.54
Cu  0.2500  0.2500  0.2500  4 Co 2.54, 4 Rh 2.54

Calculated values
Formation energy from the elements = 0.111 eV/atom
SG = No. 216
Density of states at the Fermi level = 7.00 states/eV/cell

---

Compound: MnCoCu4Sn2S8
Source: Alexandria via LeMat-Bulk
Functional: PBE
Structure: relaxed

Unit cell a=5.4361 b=6.6796 c=10.1819 alpha=90.23 beta=105.48 gamma=114.05
Closest atoms and distances in Å follow each position.
Atoms (fractional coordinates):
Mn  0.3761  0.6267  0.1247  4 S 2.39-2.40
Co  0.8734  0.1226  0.6252  4 S 2.26-2.27
Cu  0.6231  0.3707  0.8698  4 S 2.31-2.32
Cu  0.1274  0.8795  0.3794  4 S 2.31-2.32
Cu  0.9970  0.0031  0.9962  4 S 2.30-2.32
Cu  0.5026  0.4974  0.5041  4 S 2.31-2.33
Sn  0.2494  0.7483  0.7463  4 S 2.48-2.49
Sn  0.7499  0.2513  0.2537  4 S 2.47-2.48
S  0.4280  0.3088  0.0507  2 Cu 2.32, 1 Mn 2.40, 1 Sn 2.47
S  0.9155  0.8197  0.5536  1 Co 2.27, 2 Cu 2.31-2.32, 1 Sn 2.49
S  0.2076  0.5790  0.3227  2 Cu 2.32-2.33, 1 Mn 2.40, 1 Sn 2.47
S  0.7116  0.0785  0.8107  1 Co 2.26, 2 Cu 2.30-2.31, 1 Sn 2.49
S  0.3038  0.4114  0.6831  1 Co 2.26, 2 Cu 2.31-2.32, 1 Sn 2.49
S  0.8323  0.9337  0.1863  2 Cu 2.31-2.32, 1 Mn 2.40, 1 Sn 2.47
S  0.0433  0.6855  0.9402  2 Cu 2.31-2.32, 1 Mn 2.39, 1 Sn 2.48
S  0.5591  0.1837  0.4533  1 Co 2.26, 2 Cu 2.31-2.32, 1 Sn 2.48

Calculated values
Formation energy without anion corrections = -0.361 eV per atom
SG = No. 1
Density of states at the Fermi level = 1.73 states/eV/cell

---

Compound: MnCoCuSb
Source: Alexandria via LeMat-Bulk
Functional: PBE
Structure: relaxed

Unit cell a=4.3074 b=4.3074 c=4.3074 alpha=60.00 beta=60.00 gamma=60.00
Closest atoms and distances in Å follow each position.
Atoms (fractional coordinates):
Sb  0.5000  0.5000  0.5000  4 Co 2.64, 4 Cu 2.64
Mn  0.0000  0.0000  0.0000  4 Cu 2.64, 4 Co 2.64
Co  0.2500  0.2500  0.2500  4 Mn 2.64, 4 Sb 2.64
Cu  0.7500  0.7500  0.7500  4 Mn 2.64, 4 Sb 2.64

Calculated values
Formation energy without anion corrections = 0.086 eV per atom
SG = No. 216
Density of states at the Fermi level = 1.77 states/eV/cell

---

Compound: MnCoCuSi
Source: Alexandria via LeMat-Bulk
Functional: PBE
Structure: relaxed

Unit cell a=4.0060 b=4.0060 c=4.0060 alpha=60.00 beta=60.00 gamma=60.00
Closest atoms and distances in Å follow each position.
Atoms (fractional coordinates):
Si  0.7500  0.7500  0.7500  4 Co 2.45, 4 Mn 2.45
Mn  0.0000  0.0000  0.0000  4 Cu 2.45, 4 Si 2.45
Co  0.5000  0.5000  0.5000  4 Cu 2.45, 4 Si 2.45
Cu  0.2500  0.2500  0.2500  4 Co 2.45, 4 Mn 2.45

Calculated values
Formation energy without anion corrections = -0.159 eV per atom
SG = No. 216
Density of states at the Fermi level = 2.82 states/eV/cell

---

Compound: MnCoCuSi
Source: Alexandria via LeMat-Bulk
Functional: PBE
Structure: relaxed

Unit cell a=4.0401 b=4.0401 c=4.0401 alpha=60.00 beta=60.00 gamma=60.00
Closest atoms and distances in Å follow each position.
Atoms (fractional coordinates):
Si  0.2500  0.2500  0.2500  4 Co 2.47, 4 Cu 2.47
Mn  0.7500  0.7500  0.7500  4 Co 2.47, 4 Cu 2.47
Co  0.0000  0.0000  0.0000  4 Mn 2.47, 4 Si 2.47
Cu  0.5000  0.5000  0.5000  4 Mn 2.47, 4 Si 2.47

Calculated values
Formation energy without anion corrections = -0.152 eV per atom
SG = No. 216
Density of states at the Fermi level = 3.97 states/eV/cell

---

- Which formula does entry 6 have?
  MnCoCuSb

---

- The lowest density of states at the Fermi level belongs to which entry?
  MnCoCu4Sn2S8